Compound: TePbCl
Source: Alexandria via LeMat-Bulk
Functional: PBE-GGA
Structure: relaxed

Geometry as POSCAR:
```
TePbCl
1.0
5.605 -0.778 -0.102
2.187 7.141 0.920
-0.050 1.569 5.760
Pb Cl Te
2 2 2
direct
0.921 0.829 0.761 Pb
0.569 0.321 0.895 Pb
0.787 0.911 0.159 Cl
0.437 0.745 0.693 Cl
0.056 0.386 0.130 Te
0.048 0.284 0.634 Te
```

Computed properties:
For the raw total energy, the calculation gives -3.501 eV/atom. The energy above the most stable polymorph in this dataset comes out at 0.0 meV per atom. As for the uncorrected formation energy: -602 meV per atom. The value obtained for the magnetization is 0.00 μB/f.u. Its theoretical density is 5.302 Mg/m³. As for the space-group type: P1, No. 1.